Computed, not measured: a geometry-optimized LiSi2N3 structure at the PBE-GGA level of DFT.

Computed properties:
Formation energy without anion corrections: -0.89 eV/atom
Total DFT energy (no corrections): -86.1 eV for the cell shown
Total moment: 0.00 μB/cell
Fermi-level density of states: 0.0 states/eV/f.u.
Space-group type: C2/m

Cell lengths 7.7819, 7.7819, 6.7805 Å; angles 96.84, 96.84, 22.24 degrees
Fractional positions:
Li  0.1012  0.1012  0.2462
Li  0.8988  0.8988  0.7538
Si  0.2178  0.2178  0.8581
Si  0.4368  0.4368  0.3872
Si  0.5632  0.5632  0.6128
Si  0.7822  0.7822  0.1419
N  0.1209  0.1209  0.7097
N  0.2227  0.2227  0.1337
N  0.4530  0.4530  0.6450
N  0.5470  0.5470  0.3550
N  0.7773  0.7773  0.8663
N  0.8791  0.8791  0.2903


Computed, not measured: a geometry-optimized In3TePt structure at the PBE-GGA level of DFT.

Computed properties:
Formation energy without anion corrections: -0.30 eV/atom
Total DFT energy (no corrections): -18.9 eV for the cell shown
Total moment: 0.00 μB/cell
Fermi-level density of states: 3.0 states/eV/f.u.
Distance to the lowest polymorph of the same formula: 0.000 eV/atom
Space-group type: Pm-3m

Cell lengths 5.2502, 5.2502, 5.2502 Å; angles 90.00, 90.00, 90.00 degrees
Fractional positions:
In  0.0000  0.0000  0.5000
In  0.0000  0.5000  0.0000
In  0.5000  0.0000  0.0000
Te  0.5000  0.5000  0.5000
Pt  0.0000  0.0000  0.0000


Computed, not measured: a geometry-optimized BePbC2 structure at the PBE-GGA level of DFT.

Computed properties:
Total DFT energy (no corrections): -40.9 eV for the cell shown
Total moment: 0.00 μB/cell
Fermi-level density of states: 1.2 states/eV/f.u.
Formation energy: 1.361 eV/atom
Distance to the lowest polymorph of the same formula: 0.000 eV/atom
Space-group type: I-42d

Cell lengths 6.3730, 6.3730, 6.3730 Å; angles 140.94, 140.94, 56.43 degrees
Fractional positions:
Be  0.0000  0.0000  0.0000
Be  0.7500  0.2500  0.5000
Pb  0.2500  0.7500  0.5000
Pb  0.5000  0.5000  0.0000
C  0.3750  0.2172  0.3422
C  0.7828  0.1250  0.1578
C  0.8750  0.0328  0.6578
C  0.9672  0.6250  0.8422


Computed, not measured: a geometry-optimized CeRh6W structure at the PBE-GGA level of DFT.

Computed properties:
Total DFT energy (no corrections): -66.6 eV for the cell shown
Total moment: 0.00 μB/cell
Fermi-level density of states: 6.7 states/eV/f.u.
Formation energy: -0.445 eV/atom
Space-group type: P4/mmm

Cell lengths 3.9594, 3.9594, 7.9818 Å; angles 90.00, 90.00, 90.00 degrees
Fractional positions:
Ce  0.0000  0.0000  0.0000
Rh  0.0000  0.5000  0.2704
Rh  0.0000  0.5000  0.7296
Rh  0.5000  0.0000  0.2704
Rh  0.5000  0.0000  0.7296
Rh  0.5000  0.5000  0.0000
Rh  0.5000  0.5000  0.5000
W  0.0000  0.0000  0.5000


Q: Which formula does entry 1 have?
A: LiSi2N3